Record 1
Computed, not measured: a geometry-optimized Pr3TePCl structure at the GGA-PBE level of DFT.

Properties
Fermi-level density of states ... 6.90 states/eV per cell
Energy ... -66.7 eV/cell
Calculated density ... 5.66 g cm⁻³
Formation energy (no corrections) ... -1.43 eV per atom

```
data_Pr3TePCl
_chemical_formula_sum 'Pr6 Te2 P2 Cl2'
_space_group_name_H-M_alt 'P 1 21/m 1'
_space_group_IT_number 11
_cell_length_a 8.895
_cell_length_b 4.258
_cell_length_c 9.668
_cell_angle_alpha 90.00
_cell_angle_beta 98.72
_cell_angle_gamma 90.00
loop_
_space_group_symop_operation_xyz
'x,y,z'
'-x,-y,-z'
'-x,y+1/2,-z'
'x,-y+1/2,z'
loop_
_atom_site_label
_atom_site_fract_x
_atom_site_fract_y
_atom_site_fract_z
Pr1 0.080 0.250 0.352
Pr2 0.187 0.250 0.959
Pr3 0.369 0.750 0.635
Te1 0.342 0.750 0.293
P1 0.147 0.250 0.654
Cl1 0.387 0.750 0.926
```

Record 2
Computed, not measured: a geometry-optimized Ti2TeWBr structure at the GGA-PBE level of DFT.

Properties
Fermi-level density of states ... 8.68 states/eV per cell
Energy ... -24.7 eV/cell
Calculated density ... 5.56 g cm⁻³
Formation energy (no corrections) ... 1.76 eV per atom

```
data_Ti2TeWBr
_chemical_formula_sum 'Ti2 Te1 W1 Br1'
_space_group_name_H-M_alt 'P 4/m m m'
_space_group_IT_number 123
_space_group_name_Hall '-P 4 2'
_cell_length_a 5.133
_cell_length_b 5.133
_cell_length_c 5.524
_cell_angle_alpha 90.00
_cell_angle_beta 90.00
_cell_angle_gamma 90.00
loop_
_atom_site_label
_atom_site_fract_x
_atom_site_fract_y
_atom_site_fract_z
Ti1 0.000 0.500 0.000
Te1 0.000 0.000 0.000
W1 0.500 0.500 0.500
Br1 0.000 0.000 0.500
```

Record 3
Computed, not measured: a geometry-optimized Tb2Pm5Th2 structure at the GGA-PBE level of DFT.

Properties
Fermi-level density of states ... 28.59 states/eV per cell
Energy ... -90.6 eV/cell
Formation energy from the elements ... 284 meV per atom
Calculated density ... 7.51 g cm⁻³

```
data_Tb2Pm5Th2
_chemical_formula_sum 'Tb4 Pm10 Th4'
_space_group_name_H-M_alt 'C 1 2/m 1'
_space_group_IT_number 12
_cell_length_a 23.579
_cell_length_b 3.508
_cell_length_c 8.269
_cell_angle_alpha 90.00
_cell_angle_beta 102.91
_cell_angle_gamma 90.00
loop_
_space_group_symop_operation_xyz
'x,y,z'
'-x,-y,-z'
'-x,y,-z'
'x,-y,z'
'x+1/2,y+1/2,z'
'-x+1/2,-y+1/2,-z'
'-x+1/2,y+1/2,-z'
'x+1/2,-y+1/2,z'
loop_
_atom_site_label
_atom_site_fract_x
_atom_site_fract_y
_atom_site_fract_z
Tb1 0.157 0.000 0.189
Pm1 0.000 0.000 0.000
Pm2 0.091 0.000 0.741
Pm3 0.196 0.500 0.569
Th1 0.051 0.500 0.371
```

Record 4
Computed, not measured: a geometry-optimized Sc2TcPtC structure at the GGA-PBE level of DFT.

Properties
Fermi-level density of states ... 4.23 states/eV per cell
Energy ... -41.3 eV/cell
Formation energy from the elements ... -605 meV per atom
Calculated density ... 8.24 g cm⁻³

```
data_Sc2TcPtC
_chemical_formula_sum 'Sc2 Tc1 Pt1 C1'
_space_group_name_H-M_alt 'P 4/m m m'
_space_group_IT_number 123
_space_group_name_Hall '-P 4 2'
_cell_length_a 4.514
_cell_length_b 4.514
_cell_length_c 3.908
_cell_angle_alpha 90.00
_cell_angle_beta 90.00
_cell_angle_gamma 90.00
loop_
_atom_site_label
_atom_site_fract_x
_atom_site_fract_y
_atom_site_fract_z
Sc1 0.000 0.500 0.000
Tc1 0.000 0.000 0.500
Pt1 0.500 0.500 0.500
C1 0.000 0.000 0.000
```

Record 5
Computed, not measured: a geometry-optimized LiTlAgSn structure at the GGA-PBE level of DFT.

Properties
Fermi-level density of states ... 8.18 states/eV per cell
Energy ... -45.9 eV/cell
Formation energy from the elements ... -87 meV per atom
Calculated density ... 8.22 g cm⁻³

```
data_LiTlAgSn
_chemical_formula_sum 'Li4 Tl4 Ag4 Sn4'
_space_group_name_H-M_alt 'F -4 3 m'
_space_group_IT_number 216
_space_group_name_Hall 'F -4 2 3'
_cell_length_a 7.073
_cell_length_b 7.073
_cell_length_c 7.073
_cell_angle_alpha 90.00
_cell_angle_beta 90.00
_cell_angle_gamma 90.00
loop_
_atom_site_label
_atom_site_fract_x
_atom_site_fract_y
_atom_site_fract_z
Li1 0.000 0.000 0.000
Tl1 0.250 0.250 0.750
Ag1 0.000 0.000 0.500
Sn1 0.250 0.250 0.250
```

Record 6
Computed, not measured: a geometry-optimized Sm2Th3Te8 structure at the GGA-PBE level of DFT.

Properties
Fermi-level density of states ... 15.73 states/eV per cell
Energy ... -144.2 eV/cell
Calculated density ... 6.68 g cm⁻³
Formation energy (no corrections) ... -1.17 eV per atom

```
data_Sm2Th3Te8
_chemical_formula_sum 'Sm4 Th6 Te16'
_space_group_name_H-M_alt 'C 1 2/m 1'
_space_group_IT_number 12
_cell_length_a 15.852
_cell_length_b 8.839
_cell_length_c 7.477
_cell_angle_alpha 90.00
_cell_angle_beta 106.85
_cell_angle_gamma 90.00
loop_
_space_group_symop_operation_xyz
'x,y,z'
'-x,-y,-z'
'-x,y,-z'
'x,-y,z'
'x+1/2,y+1/2,z'
'-x+1/2,-y+1/2,-z'
'-x+1/2,y+1/2,-z'
'x+1/2,-y+1/2,z'
loop_
_atom_site_label
_atom_site_fract_x
_atom_site_fract_y
_atom_site_fract_z
Sm1 0.245 0.000 0.326
Th1 0.000 0.000 0.500
Th2 0.000 0.249 0.000
Te1 0.113 0.500 0.893
Te2 0.124 0.253 0.417
Te3 0.128 0.000 0.910
```